Material: K2CrFe
Method: DFT, PBE-GGA
State: optimized geometry

**E_tot**: -4.278 eV per atom
**DFT formation energy**: 3.2 eV/f.u.

```
4
Lattice="3.4106 0.0000 0.0000 0.0000 3.4106 0.0000 0.0000 0.0000 10.3543" Properties=species:S:1:pos:R:3 pbc="T T T"
Cr 0.0000 0.0000 6.1966
Fe 1.7053 1.7053 6.7711
K 0.0000 0.0000 9.5236
K 1.7053 1.7053 3.3944
```